[1]
# KSiAg4 PBE optimized geometry
data_KSiAg4
_chemical_formula_sum 'K4 Si4 Ag16'
_cell_length_a 7.994
_cell_length_b 7.994
_cell_length_c 7.994
_cell_angle_alpha 90.00
_cell_angle_beta 90.00
_cell_angle_gamma 90.00
_space_group_name_H-M_alt 'F -4 3 m'
_space_group_IT_number 216
_space_group_name_Hall 'F -4 2 3'
loop_
_atom_site_label
_atom_site_type_symbol
_atom_site_fract_x
_atom_site_fract_y
_atom_site_fract_z
K1 K 0.000 0.000 0.000
Si1 Si 0.250 0.250 0.750
Ag1 Ag 0.124 0.124 0.376
# E = -2.71 eV per atom
# D(E_F) = 13.28 states/eV/cell

---

[2]
# KSiAg2 PBE optimized geometry
data_KSiAg2
_chemical_formula_sum 'K2 Si2 Ag4'
_cell_length_a 6.534
_cell_length_b 10.197
_cell_length_c 2.830
_cell_angle_alpha 90.00
_cell_angle_beta 113.62
_cell_angle_gamma 90.00
_space_group_name_H-M_alt 'C 1 2/m 1'
_space_group_IT_number 12
loop_
_space_group_symop_operation_xyz
'x,y,z'
'-x,-y,-z'
'-x,y,-z'
'x,-y,z'
'x+1/2,y+1/2,z'
'-x+1/2,-y+1/2,-z'
'-x+1/2,y+1/2,-z'
'x+1/2,-y+1/2,z'
loop_
_atom_site_label
_atom_site_type_symbol
_atom_site_fract_x
_atom_site_fract_y
_atom_site_fract_z
K1 K 0.000 0.000 0.000
Si1 Si 0.000 0.500 0.000
Ag1 Ag 0.250 0.250 0.500
# E = -2.60 eV per atom
# D(E_F) = 2.88 states/eV/cell

---

[3]
# KSiAg2 PBE optimized geometry
data_KSiAg2
_chemical_formula_sum 'K1 Si1 Ag2'
_cell_length_a 3.371
_cell_length_b 3.371
_cell_length_c 8.107
_cell_angle_alpha 90.00
_cell_angle_beta 90.00
_cell_angle_gamma 90.00
_space_group_name_H-M_alt 'P 4 m m'
_space_group_IT_number 99
loop_
_space_group_symop_operation_xyz
'x,y,z'
'-y,x,z'
'-x,-y,z'
'y,-x,z'
'-x,y,z'
'y,x,z'
'x,-y,z'
'-y,-x,z'
loop_
_atom_site_label
_atom_site_type_symbol
_atom_site_fract_x
_atom_site_fract_y
_atom_site_fract_z
K1 K 0.000 0.000 0.000
Si1 Si 0.500 0.500 0.310
Ag1 Ag 0.000 0.000 0.461
Ag2 Ag 0.500 0.500 0.664
# E = -2.81 eV per atom
# D(E_F) = 2.00 states/eV/cell